No. 1
SrIn5Ga | PBE | optimized geometry

Properties
The space-group type is No. 123.

Cell lengths 5.006, 5.006, 7.764 Å; angles 90.00, 90.00, 90.00 degrees
Positions (direct):
Sr 0.000 0.000 0.000
In 0.000 0.500 0.295
In 0.000 0.500 0.705
In 0.500 0.000 0.295
In 0.500 0.000 0.705
In 0.500 0.500 0.000
Ga 0.000 0.000 0.500

***

No. 2
Sr2InGa10 | PBE | optimized geometry

Properties
The space-group type is No. 14.

Cell lengths 5.987, 5.933, 18.838 Å; angles 90.00, 90.37, 90.00 degrees
Positions (direct):
Sr 0.001 0.218 0.415
Sr 0.001 0.282 0.915
Sr 0.999 0.718 0.085
Sr 0.999 0.782 0.585
In 0.500 0.000 0.000
In 0.500 0.500 0.500
Ga 0.211 0.205 0.120
Ga 0.211 0.295 0.620
Ga 0.212 0.705 0.380
Ga 0.212 0.795 0.880
Ga 0.498 0.000 0.567
Ga 0.498 0.500 0.067
Ga 0.500 0.062 0.707
Ga 0.500 0.110 0.845
Ga 0.500 0.390 0.345
Ga 0.500 0.438 0.207
Ga 0.500 0.562 0.793
Ga 0.500 0.610 0.655
Ga 0.500 0.890 0.155
Ga 0.500 0.938 0.293
Ga 0.502 0.000 0.433
Ga 0.502 0.500 0.933
Ga 0.788 0.205 0.120
Ga 0.788 0.295 0.620
Ga 0.789 0.705 0.380
Ga 0.789 0.795 0.880

***

No. 3
Sr11In3Ga4 | PBE | optimized geometry

Properties
The space-group type is No. 225.

Cell lengths 12.319, 12.319, 12.319 Å; angles 60.00, 60.00, 60.00 degrees
Positions (direct):
Sr 0.000 0.000 0.000
Sr 0.000 0.000 0.338
Sr 0.000 0.000 0.662
Sr 0.000 0.338 0.000
Sr 0.000 0.338 0.662
Sr 0.000 0.662 0.000
Sr 0.000 0.662 0.338
Sr 0.101 0.633 0.633
Sr 0.338 0.000 0.000
Sr 0.338 0.000 0.662
Sr 0.338 0.662 0.000
Sr 0.367 0.367 0.367
Sr 0.367 0.367 0.899
Sr 0.367 0.899 0.367
Sr 0.500 0.500 0.500
Sr 0.633 0.101 0.633
Sr 0.633 0.633 0.101
Sr 0.633 0.633 0.633
Sr 0.662 0.000 0.000
Sr 0.662 0.000 0.338
Sr 0.662 0.338 0.000
Sr 0.899 0.367 0.367
In 0.280 0.280 0.720
In 0.280 0.720 0.280
In 0.280 0.720 0.720
In 0.720 0.280 0.280
In 0.720 0.280 0.720
In 0.720 0.720 0.280
Ga 0.194 0.194 0.194
Ga 0.194 0.194 0.419
Ga 0.194 0.419 0.194
Ga 0.419 0.194 0.194
Ga 0.581 0.806 0.806
Ga 0.806 0.581 0.806
Ga 0.806 0.806 0.581
Ga 0.806 0.806 0.806

***

No. 4
SrInGa3 | PBE | optimized geometry

Properties
The space-group type is No. 221.

Cell lengths 5.341, 5.341, 5.341 Å; angles 90.00, 90.00, 90.00 degrees
Positions (direct):
Sr 0.000 0.000 0.000
In 0.500 0.500 0.500
Ga 0.000 0.500 0.500
Ga 0.500 0.000 0.500
Ga 0.500 0.500 0.000

***

No. 5
Sr2InGa | PBE | optimized geometry

Properties
The space-group type is No. 225.

Cell lengths 5.656, 5.656, 5.656 Å; angles 60.00, 60.00, 60.00 degrees
Positions (direct):
Sr 0.250 0.250 0.250
Sr 0.750 0.750 0.750
In 0.000 0.000 0.000
Ga 0.500 0.500 0.500

***

No. 6
Sr2InGa | PBE | optimized geometry

Properties
The space-group type is No. 123.

Cell lengths 3.969, 3.969, 8.083 Å; angles 90.00, 90.00, 90.00 degrees
Positions (direct):
Sr 0.000 0.000 0.237
Sr 0.000 0.000 0.763
In 0.500 0.500 0.500
Ga 0.500 0.500 0.000

***

No. 7
Sr2In7Ga | PBE | optimized geometry

Properties
The space-group type is No. 115.

Cell lengths 4.895, 4.895, 12.223 Å; angles 90.00, 90.00, 90.00 degrees
Positions (direct):
Sr 0.000 0.500 0.241
Sr 0.500 0.000 0.759
In 0.000 0.000 0.000
In 0.000 0.000 0.500
In 0.000 0.500 0.640
In 0.000 0.500 0.872
In 0.500 0.000 0.128
In 0.500 0.000 0.360
In 0.500 0.500 0.500
Ga 0.500 0.500 0.000

***

No. 8
Sr5In2Ga | PBE | optimized geometry

Properties
The space-group type is No. 55.

Cell lengths 7.388, 14.099, 5.658 Å; angles 90.00, 90.00, 90.00 degrees
Positions (direct):
Sr 0.000 0.000 0.000
Sr 0.126 0.282 0.000
Sr 0.167 0.602 0.500
Sr 0.333 0.102 0.500
Sr 0.374 0.782 0.000
Sr 0.500 0.500 0.000
Sr 0.626 0.218 0.000
Sr 0.667 0.898 0.500
Sr 0.833 0.398 0.500
Sr 0.874 0.718 0.000
In 0.138 0.862 0.500
In 0.362 0.362 0.500
In 0.638 0.638 0.500
In 0.862 0.138 0.500
Ga 0.000 0.500 0.000
Ga 0.500 0.000 0.000

***

Final energy: -2.7881; -2.9427; -2.5212; -2.5619; -2.6611; -2.6710; -2.8218; -2.4222 (eV per atom)